Entry 1:
A plane-wave DFT calculation with GGA-PBE was carried out for Ce12CoIr6 after structural relaxation.

Computed properties:
* SG: R-3 (148)
* DFT formation energy: -0.4575 eV/atom

a = 8.109 Å, b = 8.109 Å, c = 8.109 Å
α = 97.95°, β = 97.95°, γ = 97.95°
Atoms (fractional coordinates):
Ce 0.420 0.586 0.182
Ce 0.934 0.035 0.678
Ce 0.678 0.934 0.035
Ce 0.580 0.414 0.818
Ce 0.586 0.182 0.420
Ce 0.414 0.818 0.580
Ce 0.818 0.580 0.414
Ce 0.035 0.678 0.934
Ce 0.182 0.420 0.586
Ce 0.322 0.066 0.965
Ce 0.066 0.965 0.322
Ce 0.965 0.322 0.066
Ir 0.128 0.621 0.309
Ir 0.691 0.872 0.379
Ir 0.872 0.379 0.691
Ir 0.309 0.128 0.621
Ir 0.621 0.309 0.128
Ir 0.379 0.691 0.872
Co 0.000 0.000 0.000



Entry 2:
A plane-wave DFT calculation with GGA-PBE was carried out for Ce3CoIr after structural relaxation.

Computed properties:
* SG: P2_1/c (14)
* DFT formation energy: -0.3402 eV/atom

a = 6.117 Å, b = 8.831 Å, c = 10.305 Å
α = 126.17°, β = 90.00°, γ = 90.00°
Atoms (fractional coordinates):
Ce 0.031 0.254 0.330
Ce 0.531 0.246 0.170
Ce 0.611 0.896 0.246
Ce 0.469 0.754 0.830
Ce 0.953 0.225 0.934
Ce 0.047 0.775 0.066
Ce 0.453 0.275 0.566
Ce 0.969 0.746 0.670
Ce 0.889 0.396 0.746
Ce 0.547 0.725 0.434
Ce 0.111 0.604 0.254
Ce 0.389 0.104 0.754
Ir 0.165 0.986 0.410
Ir 0.335 0.486 0.910
Ir 0.835 0.014 0.590
Ir 0.665 0.514 0.090
Co 0.701 0.508 0.549
Co 0.299 0.492 0.451
Co 0.201 0.992 0.951
Co 0.799 0.008 0.049



- Which of these has the lowest DFT formation energy?
  Ce12CoIr6



- What is the DFT formation energy in the second record?
  -0.3402 eV/atom



- Which value of DFT formation energy does entry 1 give?
  -0.4575 eV/atom



- Number 2 is which compound?
  Ce3CoIr